(1)
5
Lattice="4.9316 0.0000 0.0000 0.0000 4.9316 0.0000 0.0000 0.0000 4.9678" Properties=species:S:1:pos:R:3 comment="BaPdSCl2 | the Alexandria database | PBE-GGA | optimized geometry" raw_formation_energy_mev_per_atom=-1257 total_energy_ry_per_atom=-0.3120 polymorph_energy_ev_per_atom=0.000 total_magnetization_mub_per_fu=0.0 volume_a3_per_fu=121 pbc="T T T"
Ba 0.0000 0.0000 0.0000
Pd 2.4658 2.4658 2.4839
S 2.4658 2.4658 0.0000
Cl 0.0000 2.4658 2.4839
Cl 2.4658 0.0000 2.4839


(2)
4
Lattice="-1.4756 2.5544 6.5392 1.4756 -2.5544 6.5392 1.4756 2.5544 -6.5392" Properties=species:S:1:pos:R:3 comment="CdReCl2 | the Alexandria database | PBE-GGA | optimized geometry" raw_formation_energy_mev_per_atom=70 total_energy_ry_per_atom=-0.3083 polymorph_energy_ev_per_atom=0.041 total_magnetization_mub_per_fu=0.7 volume_a3_per_fu=99 pbc="T T T"
Cd 0.0000 0.0000 0.0000
Re 0.0000 0.0000 6.5392
Cl 1.4756 0.0000 4.6035
Cl 0.0000 2.5544 1.9357


(3)
4
Lattice="3.3706 0.0000 0.0000 0.0000 3.2928 0.0000 -1.6121 0.0000 9.9252" Properties=species:S:1:pos:R:3 comment="Hg2PSe | the Alexandria database | PBE-GGA | optimized geometry" raw_formation_energy_mev_per_atom=129 total_energy_ry_per_atom=-0.1650 total_magnetization_mub_per_fu=0.0 volume_a3_per_fu=110 pbc="T T T"
Hg 0.0000 0.0000 0.0000
Hg 0.0602 1.6464 7.2783
P 1.7771 1.6464 2.6394
Se 1.7713 0.0000 4.2025